First-principles (GGA+U) data for a relaxed structure of CdNiNO2, as listed in the Alexandria database.

Computed properties:
SG: P4/mmm, No. 123
DFT total energy in eV/atom: -3.143

a = 4.1436 Å, b = 4.1436 Å, c = 4.1715 Å
α = 90.00°, β = 90.00°, γ = 90.00°
Last column: nearest neighbours and their distance in Å.
Element x y z (fractional)
Cd: 0.0000 0.0000 0.0000  4 O 2.07, 2 N 2.09
O: 0.5000 0.0000 0.0000  2 Cd 2.07
O: 0.0000 0.5000 0.0000  2 Cd 2.07
Ni: 0.5000 0.5000 0.5000  4 N 2.93, 8 O 2.94
N: 0.0000 0.0000 0.5000  2 Cd 2.09